# Pu3SnRh3 | the Alexandria database | PBE | optimized geometry
# DFT total energy ... -144.39 eV/cell
data_Pu3SnRh3
_cell_length_a 4.561
_cell_length_b 5.455
_cell_length_c 13.164
_cell_angle_alpha 90.00
_cell_angle_beta 90.00
_cell_angle_gamma 114.71
_symmetry_space_group_name_H-M 'P 1'
_symmetry_Int_Tables_number 1
loop_
_symmetry_equiv_pos_as_xyz
'x,y,z'
loop_
_atom_site_label
_atom_site_type_symbol
_atom_site_fract_x
_atom_site_fract_y
_atom_site_fract_z
Rh1 Rh 0.265 0.530 0.250
Rh2 Rh 0.097 0.193 0.409
Rh3 Rh 0.903 0.807 0.591
Rh4 Rh 0.735 0.470 0.750
Rh5 Rh 0.903 0.807 0.909
Rh6 Rh 0.097 0.193 0.091
Sn1 Sn 0.500 0.000 0.000
Sn2 Sn 0.500 0.000 0.500
Pu1 Pu 0.535 0.070 0.250
Pu2 Pu 0.194 0.388 0.609
Pu3 Pu 0.194 0.388 0.891
Pu4 Pu 0.806 0.612 0.109
Pu5 Pu 0.806 0.612 0.391
Pu6 Pu 0.465 0.930 0.750

# KTm2Te6Pb3 | the Alexandria database | PBE | optimized geometry
# DFT total energy ... -49.50 eV/cell
# Formation energy without anion corrections ... -9.48 eV per formula unit
data_KTm2Te6Pb3
_cell_length_a 4.411
_cell_length_b 9.741
_cell_length_c 10.138
_cell_angle_alpha 101.31
_cell_angle_beta 102.56
_cell_angle_gamma 90.00
_symmetry_space_group_name_H-M 'P 1'
_symmetry_Int_Tables_number 1
loop_
_symmetry_equiv_pos_as_xyz
'x,y,z'
loop_
_atom_site_label
_atom_site_type_symbol
_atom_site_fract_x
_atom_site_fract_y
_atom_site_fract_z
Te1 Te 0.680 0.118 0.360
Te2 Te 0.320 0.882 0.640
Te3 Te 0.985 0.730 0.970
Te4 Te 0.670 0.561 0.340
Te5 Te 0.015 0.270 0.030
Te6 Te 0.330 0.439 0.660
Pb1 Pb 0.158 0.831 0.316
Pb2 Pb 0.500 0.500 0.000
Pb3 Pb 0.842 0.169 0.684
Tm1 Tm 0.831 0.667 0.662
Tm2 Tm 0.169 0.333 0.338
K1 K 0.500 0.000 0.000

# CaAc2UP4 | the Alexandria database | PBE | optimized geometry
# DFT total energy ... -52.76 eV/cell
data_CaAc2UP4
_cell_length_a 4.247
_cell_length_b 7.319
_cell_length_c 7.332
_cell_angle_alpha 109.27
_cell_angle_beta 90.00
_cell_angle_gamma 90.00
_symmetry_space_group_name_H-M 'P 1'
_symmetry_Int_Tables_number 1
loop_
_symmetry_equiv_pos_as_xyz
'x,y,z'
loop_
_atom_site_label
_atom_site_type_symbol
_atom_site_fract_x
_atom_site_fract_y
_atom_site_fract_z
P1 P 0.000 0.240 0.775
P2 P 0.000 0.760 0.225
P3 P 0.500 0.770 0.779
P4 P 0.500 0.230 0.221
Ac1 Ac 0.500 0.000 0.500
Ac2 Ac 0.000 0.500 0.500
Ca1 Ca 0.500 0.500 0.000
U1 U 0.000 0.000 0.000

# CaIn2Cl4 | the Alexandria database | PBE | optimized geometry
# DFT total energy ... -101.04 eV/cell
# Formation energy without anion corrections ... -10.40 eV per formula unit
data_CaIn2Cl4
_cell_length_a 7.303
_cell_length_b 7.748
_cell_length_c 16.525
_cell_angle_alpha 90.00
_cell_angle_beta 90.00
_cell_angle_gamma 90.00
_symmetry_space_group_name_H-M 'P 1'
_symmetry_Int_Tables_number 1
loop_
_symmetry_equiv_pos_as_xyz
'x,y,z'
loop_
_atom_site_label
_atom_site_type_symbol
_atom_site_fract_x
_atom_site_fract_y
_atom_site_fract_z
In1 In 0.016 0.421 0.649
In2 In 0.984 0.579 0.351
In3 In 0.984 0.921 0.851
In4 In 0.484 0.921 0.649
In5 In 0.016 0.079 0.149
In6 In 0.516 0.421 0.851
In7 In 0.516 0.079 0.351
In8 In 0.484 0.579 0.149
Cl1 Cl 0.689 0.195 0.524
Cl2 Cl 0.811 0.805 0.024
Cl3 Cl 0.411 0.527 0.661
Cl4 Cl 0.811 0.695 0.524
Cl5 Cl 0.911 0.973 0.339
Cl6 Cl 0.411 0.973 0.161
Cl7 Cl 0.189 0.305 0.476
Cl8 Cl 0.189 0.195 0.976
Cl9 Cl 0.311 0.695 0.976
Cl10 Cl 0.089 0.473 0.161
Cl11 Cl 0.311 0.805 0.476
Cl12 Cl 0.589 0.473 0.339
Cl13 Cl 0.589 0.027 0.839
Cl14 Cl 0.689 0.305 0.024
Cl15 Cl 0.911 0.527 0.839
Cl16 Cl 0.089 0.027 0.661
Ca1 Ca 0.500 0.000 0.000
Ca2 Ca 0.000 0.500 0.000
Ca3 Ca 0.500 0.500 0.500
Ca4 Ca 0.000 0.000 0.500

# Ca2Mg2Cu | the Alexandria database | PBE | optimized geometry
# DFT total energy ... -23.42 eV/cell
data_Ca2Mg2Cu
_cell_length_a 8.343
_cell_length_b 8.343
_cell_length_c 8.343
_cell_angle_alpha 139.93
_cell_angle_beta 133.50
_cell_angle_gamma 63.02
_symmetry_space_group_name_H-M 'P 1'
_symmetry_Int_Tables_number 1
loop_
_symmetry_equiv_pos_as_xyz
'x,y,z'
loop_
_atom_site_label
_atom_site_type_symbol
_atom_site_fract_x
_atom_site_fract_y
_atom_site_fract_z
Mg1 Mg 0.755 0.930 0.825
Mg2 Mg 0.105 0.430 0.675
Mg3 Mg 0.895 0.570 0.325
Mg4 Mg 0.245 0.070 0.175
Ca1 Ca 0.514 0.331 0.184
Ca2 Ca 0.853 0.169 0.684
Ca3 Ca 0.147 0.831 0.316
Ca4 Ca 0.486 0.669 0.816
Cu1 Cu 0.500 0.750 0.250
Cu2 Cu 0.500 0.250 0.750

# BaCaAg2 | the Alexandria database | PBE | optimized geometry
# DFT total energy ... -10.11 eV/cell
data_BaCaAg2
_cell_length_a 4.558
_cell_length_b 8.038
_cell_length_c 6.536
_cell_angle_alpha 35.89
_cell_angle_beta 90.00
_cell_angle_gamma 90.00
_symmetry_space_group_name_H-M 'P 1'
_symmetry_Int_Tables_number 1
loop_
_symmetry_equiv_pos_as_xyz
'x,y,z'
loop_
_atom_site_label
_atom_site_type_symbol
_atom_site_fract_x
_atom_site_fract_y
_atom_site_fract_z
Ag1 Ag 0.000 0.000 0.000
Ag2 Ag 0.500 0.500 0.000
Ba1 Ba 0.500 0.500 0.500
Ca1 Ca 0.000 0.000 0.500

# ErZrBi | the Alexandria database | PBE | optimized geometry
# DFT total energy ... -37.14 eV/cell
data_ErZrBi
_cell_length_a 4.379
_cell_length_b 4.379
_cell_length_c 8.286
_cell_angle_alpha 90.00
_cell_angle_beta 90.00
_cell_angle_gamma 90.00
_symmetry_space_group_name_H-M 'P 1'
_symmetry_Int_Tables_number 1
loop_
_symmetry_equiv_pos_as_xyz
'x,y,z'
loop_
_atom_site_label
_atom_site_type_symbol
_atom_site_fract_x
_atom_site_fract_y
_atom_site_fract_z
Zr1 Zr 0.500 0.500 0.500
Zr2 Zr 0.000 0.000 0.500
Bi1 Bi 0.000 0.500 0.229
Bi2 Bi 0.500 0.000 0.771
Er1 Er 0.500 0.000 0.155
Er2 Er 0.000 0.500 0.845

# Ac2TmInSe5 | the Alexandria database | PBE | optimized geometry
# DFT total energy ... -93.37 eV/cell
# Formation energy without anion corrections ... -13.84 eV per formula unit
data_Ac2TmInSe5
_cell_length_a 4.260
_cell_length_b 9.244
_cell_length_c 13.539
_cell_angle_alpha 90.00
_cell_angle_beta 90.00
_cell_angle_gamma 103.32
_symmetry_space_group_name_H-M 'P 1'
_symmetry_Int_Tables_number 1
loop_
_symmetry_equiv_pos_as_xyz
'x,y,z'
loop_
_atom_site_label
_atom_site_type_symbol
_atom_site_fract_x
_atom_site_fract_y
_atom_site_fract_z
Tm1 Tm 0.205 0.410 0.014
Tm2 Tm 0.795 0.590 0.514
Se1 Se 0.719 0.438 0.160
Se2 Se 0.940 0.881 0.585
Se3 Se 0.060 0.119 0.085
Se4 Se 0.361 0.723 0.999
Se5 Se 0.508 0.017 0.255
Se6 Se 0.492 0.983 0.755
Se7 Se 0.639 0.277 0.499
Se8 Se 0.691 0.382 0.868
Se9 Se 0.309 0.618 0.368
Se10 Se 0.281 0.562 0.660
Ac1 Ac 0.892 0.783 0.182
Ac2 Ac 0.865 0.729 0.803
Ac3 Ac 0.135 0.271 0.303
Ac4 Ac 0.108 0.217 0.682
In1 In 0.534 0.068 0.957
In2 In 0.466 0.932 0.457

# BeB2Ir4 | the Alexandria database | PBE | optimized geometry
# DFT total energy ... -48.84 eV/cell
data_BeB2Ir4
_cell_length_a 4.105
_cell_length_b 4.105
_cell_length_c 6.028
_cell_angle_alpha 70.09
_cell_angle_beta 70.09
_cell_angle_gamma 90.00
_symmetry_space_group_name_H-M 'P 1'
_symmetry_Int_Tables_number 1
loop_
_symmetry_equiv_pos_as_xyz
'x,y,z'
loop_
_atom_site_label
_atom_site_type_symbol
_atom_site_fract_x
_atom_site_fract_y
_atom_site_fract_z
B1 B 0.593 0.593 0.813
B2 B 0.407 0.407 0.187
Ir1 Ir 0.781 0.781 0.438
Ir2 Ir 0.500 0.000 0.000
Ir3 Ir 0.219 0.219 0.562
Ir4 Ir 0.000 0.500 0.000
Be1 Be 0.000 0.000 0.000

# MgZrPt5 | the Alexandria database | PBE | optimized geometry
# DFT total energy ... -45.28 eV/cell
data_MgZrPt5
_cell_length_a 3.995
_cell_length_b 3.995
_cell_length_c 7.699
_cell_angle_alpha 90.00
_cell_angle_beta 90.00
_cell_angle_gamma 90.00
_symmetry_space_group_name_H-M 'P 1'
_symmetry_Int_Tables_number 1
loop_
_symmetry_equiv_pos_as_xyz
'x,y,z'
loop_
_atom_site_label
_atom_site_type_symbol
_atom_site_fract_x
_atom_site_fract_y
_atom_site_fract_z
Pt1 Pt 0.500 0.000 0.763
Pt2 Pt 0.500 0.500 0.500
Pt3 Pt 0.500 0.000 0.237
Pt4 Pt 0.000 0.500 0.237
Pt5 Pt 0.000 0.500 0.763
Zr1 Zr 0.000 0.000 0.500
Mg1 Mg 0.500 0.500 0.000

# SiN | the Alexandria database | PBE | optimized geometry
# DFT total energy ... -51.45 eV/cell
# Formation energy without anion corrections ... 0.89 eV per formula unit
data_SiN
_cell_length_a 4.255
_cell_length_b 4.255
_cell_length_c 4.255
_cell_angle_alpha 90.00
_cell_angle_beta 90.00
_cell_angle_gamma 90.00
_symmetry_space_group_name_H-M 'P 1'
_symmetry_Int_Tables_number 1
loop_
_symmetry_equiv_pos_as_xyz
'x,y,z'
loop_
_atom_site_label
_atom_site_type_symbol
_atom_site_fract_x
_atom_site_fract_y
_atom_site_fract_z
Si1 Si 0.000 0.500 0.000
Si2 Si 0.500 0.500 0.500
Si3 Si 0.500 0.000 0.000
Si4 Si 0.000 0.000 0.500
N1 N 0.000 0.000 0.000
N2 N 0.000 0.500 0.500
N3 N 0.500 0.000 0.500
N4 N 0.500 0.500 0.000

# KTa2Ga | the Alexandria database | PBE | optimized geometry
# DFT total energy ... -45.27 eV/cell
data_KTa2Ga
_cell_length_a 4.620
_cell_length_b 4.620
_cell_length_c 10.455
_cell_angle_alpha 77.24
_cell_angle_beta 77.24
_cell_angle_gamma 90.00
_symmetry_space_group_name_H-M 'P 1'
_symmetry_Int_Tables_number 1
loop_
_symmetry_equiv_pos_as_xyz
'x,y,z'
loop_
_atom_site_label
_atom_site_type_symbol
_atom_site_fract_x
_atom_site_fract_y
_atom_site_fract_z
Ta1 Ta 0.763 0.125 0.250
Ta2 Ta 0.987 0.625 0.250
Ta3 Ta 0.375 0.237 0.750
Ta4 Ta 0.875 0.013 0.750
Ga1 Ga 0.750 0.250 0.500
Ga2 Ga 0.000 0.000 0.000
K1 K 0.500 0.500 0.000
K2 K 0.250 0.750 0.500

| no. | DOS at the Fermi energy (states/eV/atom) |
| --- | --- |
| 1 | 3.945 |
| 2 | 0.289 |
| 3 | 0.846 |
| 4 | 0.000 |
| 5 | 0.670 |
| 6 | 0.745 |
| 7 | 0.859 |
| 8 | 0.317 |
| 9 | 0.508 |
| 10 | 0.871 |
| 11 | 0.645 |
| 12 | 0.878 |